Compound: ThNi4Sn12
Source: the Alexandria database
Functional: PBE
Structure: optimized geometry

Space-group type   Im-3
ΔH_f (0 K)   -0.20 eV/atom
Calculated total energy   -4.821 eV per atom
Magnetization   0.00 μB/f.u.

Lattice parameters (Å, degrees): 7.9984 7.9983 7.9983 109.47 109.47 109.47
With the nearest neighbours (Å) after each atom.
Fractional positions:
1 Sn 0.8333 0.3368 0.1701  2 Ni 2.56
2 Sn 0.5034 0.1667 0.3368  2 Ni 2.56
3 Ni 0.5000 0.5000 0.5000  6 Sn 2.56
4 Ni 0.5000 0.0000 0.0000  6 Sn 2.56
5 Ni 0.0000 0.0000 0.5000  6 Sn 2.56
6 Th 0.0000 0.0000 0.0000  12 Sn 3.47
7 Ni 0.0000 0.5000 0.0000  6 Sn 2.56
8 Sn 0.8333 0.6632 0.4966  2 Ni 2.56
9 Sn 0.3368 0.5034 0.1667  2 Ni 2.56
10 Sn 0.4966 0.8333 0.6632  2 Ni 2.56
11 Sn 0.1667 0.3368 0.5034  2 Ni 2.56
12 Sn 0.6632 0.4966 0.8333  2 Ni 2.56
13 Sn 0.6632 0.8299 0.1667  2 Ni 2.56
14 Sn 0.3368 0.1701 0.8333  2 Ni 2.56
15 Sn 0.8299 0.1667 0.6632  2 Ni 2.56
16 Sn 0.1667 0.6632 0.8299  2 Ni 2.56
17 Sn 0.1701 0.8333 0.3368  2 Ni 2.56